Below is YMg4Ag after structural relaxation, with properties calculated at the PBE level.

Energy of formation from the pure elements ... -0.143 eV per atom
Size of the total moment ... 0.00 μB/f.u.
Energy relative to the lowest polymorph listed for this composition ... 0 meV/atom
Space-group type ... Pmma

a = 4.0160 Å, b = 7.8233 Å, c = 8.9559 Å
α = 90.00°, β = 90.00°, γ = 90.00°
Fractional positions:
Y 0.0000 0.6034 0.7500
Y 0.0000 0.3966 0.2500
Mg 0.0000 0.0000 0.5000
Mg 0.0000 0.0000 0.0000
Mg 0.5000 0.9361 0.7500
Mg 0.5000 0.0639 0.2500
Mg 0.5000 0.6859 0.0500
Mg 0.5000 0.3141 0.9500
Mg 0.5000 0.6859 0.4500
Mg 0.5000 0.3141 0.5500
Ag 0.0000 0.2056 0.7500
Ag 0.0000 0.7944 0.2500